VASP calculation (GGA-PBE) on a relaxed structure of Ta4WCl.

a = 5.4486 Å, b = 5.4486 Å, c = 5.4486 Å
α = 60.00°, β = 60.00°, γ = 60.00°
Positions (direct):
Ta1 0.8713 0.3762 0.3762
Ta2 0.3762 0.3762 0.8713
Ta3 0.3762 0.8713 0.3762
Ta4 0.3762 0.3762 0.3762
W1 0.7500 0.7500 0.7500
Cl1 0.0000 0.0000 0.0000

Calculated values
As for the uncorrected formation energy: 22.08 kcal/mol of atoms. For the mass density, the calculation gives 13692 kg/m³. The calculation puts the density of states at the Fermi level at 1.264 states/eV/atom.